Entry 1:
A plane-wave DFT calculation with PBE-GGA was carried out for an optimized crystal structure of LiTaRu2.

Lattice parameters (Å, degrees): 5.0525 5.0525 2.7400 76.90 76.90 113.14
With the nearest neighbours (Å) after each atom.
Fractional positions:
Li (0.0000, 0.5000, 0.5000)  4 Ru 2.59, 2 Li 2.74, 2 Ta 2.78
Ru (0.0000, 0.0000, 0.0000)  2 Li 2.59, 2 Ta 2.59, 4 Ru 2.74-2.78
Ru (0.5000, 0.5000, 0.0000)  2 Ta 2.59, 2 Li 2.59, 4 Ru 2.74-2.78
Ta (0.5000, 0.0000, 0.5000)  4 Ru 2.59, 2 Ta 2.74, 2 Li 2.78

Values from the calculation:
Formation energy: 85 meV per atom
Distance to the lowest polymorph of the same formula: 285 meV/atom



Entry 2:
A plane-wave DFT calculation with PBE-GGA was carried out for an optimized crystal structure of CsCeMn2I8.

Lattice parameters (Å, degrees): 8.6210 8.6210 10.4017 90.00 90.00 120.00
With the nearest neighbours (Å) after each atom.
Fractional positions:
Cs (0.0000, 0.0000, 0.5000)  6 I 4.08
Ce (0.0000, 0.0000, 0.0000)  6 I 3.13
Mn (0.3333, 0.6667, 0.7141)  4 I 2.58-2.73
Mn (0.6667, 0.3333, 0.2859)  4 I 2.58-2.73
I (0.1642, 0.3284, 0.8131)  1 Mn 2.73
I (0.1642, 0.8358, 0.8131)  1 Mn 2.73
I (0.6716, 0.8358, 0.8131)  1 Mn 2.73
I (0.3284, 0.1642, 0.1869)  1 Mn 2.73
I (0.6667, 0.3333, 0.5337)  1 Mn 2.58
I (0.3333, 0.6667, 0.4663)  1 Mn 2.58
I (0.8358, 0.6716, 0.1869)  1 Mn 2.73
I (0.8358, 0.1642, 0.1869)  1 Mn 2.73

Values from the calculation:
Formation energy without anion corrections: -0.86 eV per atom



The following DFT total energy values (in eV per cell) correspond, in order, to the records above: -31.98 -47.83.